A plane-wave DFT calculation with PBE was carried out for a geometry-optimized Ac8Pr2Nd3 structure.

abc: 7.288 9.388 9.388
angles: 63.51 97.71 97.71
Positions (direct):
Nd (0.500, 0.000, 0.000)
Nd (0.000, 0.839, 0.161)
Nd (0.000, 0.161, 0.839)
Ac (0.123, 0.410, 0.410)
Ac (0.813, 0.196, 0.196)
Ac (0.424, 0.803, 0.432)
Ac (0.877, 0.590, 0.590)
Ac (0.187, 0.804, 0.804)
Ac (0.576, 0.568, 0.197)
Ac (0.576, 0.197, 0.568)
Ac (0.424, 0.432, 0.803)
Pr (0.294, 0.195, 0.195)
Pr (0.706, 0.805, 0.805)

Calculated values
Calculated formation energy: 0.215 eV per atom
DOS at the Fermi energy: 1.5250 states/eV per atom
M_tot: 0.0 μB/cell
Energy relative to the lowest polymorph listed for this composition: 0.013 eV per atom
Uncorrected energy: -4.15 eV per atom